1.
# Tb12Fe6Bi, optimized geometry, DFT GGA-PBE
data_Tb12Fe6Bi
_symmetry_space_group_name_H-M 'P 1'
_symmetry_Int_Tables_number 1
_cell_length_a 8.481
_cell_length_b 8.481
_cell_length_c 8.481
_cell_angle_alpha 109.47
_cell_angle_beta 109.47
_cell_angle_gamma 109.47
loop_
_symmetry_equiv_pos_as_xyz
'x,y,z'
loop_
_atom_site_label
_atom_site_fract_x
_atom_site_fract_y
_atom_site_fract_z
Tb1 0.105 0.302 0.802
Tb2 0.198 0.500 0.302
Tb3 0.198 0.895 0.698
Tb4 0.302 0.198 0.500
Tb5 0.302 0.802 0.105
Tb6 0.500 0.302 0.198
Tb7 0.500 0.698 0.802
Tb8 0.698 0.198 0.895
Tb9 0.698 0.802 0.500
Tb10 0.802 0.105 0.302
Tb11 0.802 0.500 0.698
Tb12 0.895 0.698 0.198
Fe1 0.108 0.500 0.608
Fe2 0.392 0.892 0.500
Fe3 0.500 0.392 0.892
Fe4 0.500 0.608 0.108
Fe5 0.608 0.108 0.500
Fe6 0.892 0.500 0.392
Bi1 0.000 0.000 0.000
# - Crystal system: cubic
# - ΔH_f (0 K): -0.105 eV/atom
# - Electronic total energy: -112.2 eV per cell
# - DOS(E_F): 16.797 states/eV/cell


2.
# Fe3TcBi, optimized geometry, DFT GGA-PBE
data_Fe3TcBi
_symmetry_space_group_name_H-M 'P 1'
_symmetry_Int_Tables_number 1
_cell_length_a 4.588
_cell_length_b 4.588
_cell_length_c 4.588
_cell_angle_alpha 90.00
_cell_angle_beta 90.00
_cell_angle_gamma 90.00
loop_
_symmetry_equiv_pos_as_xyz
'x,y,z'
loop_
_atom_site_label
_atom_site_fract_x
_atom_site_fract_y
_atom_site_fract_z
Fe1 0.000 0.000 0.500
Fe2 0.000 0.500 0.000
Fe3 0.500 0.000 0.000
Tc1 0.000 0.000 0.000
Bi1 0.500 0.500 0.500
# - Crystal system: cubic
# - ΔH_f (0 K): 1.229 eV/atom
# - Electronic total energy: -33.5 eV per cell
# - DOS(E_F): 8.823 states/eV/cell


3.
# FeTc2Bi, optimized geometry, DFT GGA-PBE
data_FeTc2Bi
_symmetry_space_group_name_H-M 'P 1'
_symmetry_Int_Tables_number 1
_cell_length_a 6.848
_cell_length_b 6.848
_cell_length_c 6.848
_cell_angle_alpha 130.88
_cell_angle_beta 130.88
_cell_angle_gamma 72.01
loop_
_symmetry_equiv_pos_as_xyz
'x,y,z'
loop_
_atom_site_label
_atom_site_fract_x
_atom_site_fract_y
_atom_site_fract_z
Fe1 0.000 0.000 0.000
Fe2 0.750 0.250 0.500
Tc1 0.051 0.625 0.926
Tc2 0.375 0.301 0.426
Tc3 0.699 0.125 0.074
Tc4 0.875 0.949 0.574
Bi1 0.250 0.750 0.500
Bi2 0.500 0.500 0.000
# - Crystal system: tetragonal
# - ΔH_f (0 K): 1.205 eV/atom
# - Electronic total energy: -56.5 eV per cell
# - DOS(E_F): 10.811 states/eV/cell


4.
# FeTcBi3, optimized geometry, DFT GGA-PBE
data_FeTcBi3
_symmetry_space_group_name_H-M 'P 1'
_symmetry_Int_Tables_number 1
_cell_length_a 5.048
_cell_length_b 5.048
_cell_length_c 5.048
_cell_angle_alpha 90.00
_cell_angle_beta 90.00
_cell_angle_gamma 90.00
loop_
_symmetry_equiv_pos_as_xyz
'x,y,z'
loop_
_atom_site_label
_atom_site_fract_x
_atom_site_fract_y
_atom_site_fract_z
Fe1 0.000 0.000 0.000
Tc1 0.500 0.500 0.500
Bi1 0.000 0.000 0.500
Bi2 0.000 0.500 0.000
Bi3 0.500 0.000 0.000
# - Crystal system: cubic
# - ΔH_f (0 K): 1.072 eV/atom
# - Electronic total energy: -25.1 eV per cell
# - DOS(E_F): 6.518 states/eV/cell


5.
# FeTcBi2, optimized geometry, DFT GGA-PBE
data_FeTcBi2
_symmetry_space_group_name_H-M 'P 1'
_symmetry_Int_Tables_number 1
_cell_length_a 4.750
_cell_length_b 4.750
_cell_length_c 4.750
_cell_angle_alpha 60.00
_cell_angle_beta 60.00
_cell_angle_gamma 60.00
loop_
_symmetry_equiv_pos_as_xyz
'x,y,z'
loop_
_atom_site_label
_atom_site_fract_x
_atom_site_fract_y
_atom_site_fract_z
Fe1 0.000 0.000 0.000
Tc1 0.500 0.500 0.500
Bi1 0.250 0.250 0.250
Bi2 0.750 0.750 0.750
# - Crystal system: cubic
# - ΔH_f (0 K): 0.741 eV/atom
# - Electronic total energy: -23.6 eV per cell
# - DOS(E_F): 3.895 states/eV/cell


6.
# FeTcBi2, optimized geometry, DFT GGA-PBE
data_FeTcBi2
_symmetry_space_group_name_H-M 'P 1'
_symmetry_Int_Tables_number 1
_cell_length_a 7.539
_cell_length_b 7.539
_cell_length_c 7.539
_cell_angle_alpha 131.28
_cell_angle_beta 131.28
_cell_angle_gamma 71.37
loop_
_symmetry_equiv_pos_as_xyz
'x,y,z'
loop_
_atom_site_label
_atom_site_fract_x
_atom_site_fract_y
_atom_site_fract_z
Fe1 0.000 0.000 0.000
Fe2 0.750 0.250 0.500
Tc1 0.250 0.750 0.500
Tc2 0.500 0.500 0.000
Bi1 0.124 0.625 0.999
Bi2 0.375 0.374 0.499
Bi3 0.626 0.125 0.001
Bi4 0.875 0.876 0.501
# - Crystal system: tetragonal
# - ΔH_f (0 K): 1.111 eV/atom
# - Electronic total energy: -44.3 eV per cell
# - DOS(E_F): 12.340 states/eV/cell


7.
# Fe2Bi2Te, optimized geometry, DFT GGA-PBE
data_Fe2Bi2Te
_symmetry_space_group_name_H-M 'P 1'
_symmetry_Int_Tables_number 1
_cell_length_a 8.676
_cell_length_b 8.676
_cell_length_c 3.131
_cell_angle_alpha 90.00
_cell_angle_beta 90.00
_cell_angle_gamma 90.00
loop_
_symmetry_equiv_pos_as_xyz
'x,y,z'
loop_
_atom_site_label
_atom_site_fract_x
_atom_site_fract_y
_atom_site_fract_z
Fe1 0.156 0.344 0.000
Fe2 0.344 0.844 0.000
Fe3 0.656 0.156 0.000
Fe4 0.844 0.656 0.000
Bi1 0.141 0.641 0.500
Bi2 0.359 0.141 0.500
Bi3 0.641 0.859 0.500
Bi4 0.859 0.359 0.500
Te1 0.000 0.000 0.500
Te2 0.500 0.500 0.500
# - Crystal system: tetragonal
# - Electronic total energy: -49.1 eV per cell
# - E_form (uncorrected): 0.658 eV/atom
# - DOS(E_F): 14.075 states/eV/cell


8.
# Fe2BiTe, optimized geometry, DFT GGA-PBE
data_Fe2BiTe
_symmetry_space_group_name_H-M 'P 1'
_symmetry_Int_Tables_number 1
_cell_length_a 7.043
_cell_length_b 7.043
_cell_length_c 7.043
_cell_angle_alpha 131.26
_cell_angle_beta 131.26
_cell_angle_gamma 71.39
loop_
_symmetry_equiv_pos_as_xyz
'x,y,z'
loop_
_atom_site_label
_atom_site_fract_x
_atom_site_fract_y
_atom_site_fract_z
Fe1 0.107 0.625 0.982
Fe2 0.375 0.357 0.482
Fe3 0.643 0.125 0.018
Fe4 0.875 0.893 0.518
Bi1 0.250 0.750 0.500
Bi2 0.500 0.500 0.000
Te1 0.000 0.000 0.000
Te2 0.750 0.250 0.500
# - Crystal system: tetragonal
# - Electronic total energy: -41.9 eV per cell
# - E_form (uncorrected): 0.752 eV/atom
# - DOS(E_F): 7.081 states/eV/cell


9.
# Fe2BiTe, optimized geometry, DFT GGA-PBE
data_Fe2BiTe
_symmetry_space_group_name_H-M 'P 1'
_symmetry_Int_Tables_number 1
_cell_length_a 4.725
_cell_length_b 4.725
_cell_length_c 4.725
_cell_angle_alpha 60.00
_cell_angle_beta 60.00
_cell_angle_gamma 60.00
loop_
_symmetry_equiv_pos_as_xyz
'x,y,z'
loop_
_atom_site_label
_atom_site_fract_x
_atom_site_fract_y
_atom_site_fract_z
Fe1 0.250 0.250 0.250
Fe2 0.750 0.750 0.750
Bi1 0.000 0.000 0.000
Te1 0.500 0.500 0.500
# - Crystal system: cubic
# - Electronic total energy: -21.8 eV per cell
# - E_form (uncorrected): 0.543 eV/atom
# - DOS(E_F): 5.535 states/eV/cell


10.
# FeBi3Te, optimized geometry, DFT GGA-PBE
data_FeBi3Te
_symmetry_space_group_name_H-M 'P 1'
_symmetry_Int_Tables_number 1
_cell_length_a 5.842
_cell_length_b 5.842
_cell_length_c 5.842
_cell_angle_alpha 90.00
_cell_angle_beta 90.00
_cell_angle_gamma 90.00
loop_
_symmetry_equiv_pos_as_xyz
'x,y,z'
loop_
_atom_site_label
_atom_site_fract_x
_atom_site_fract_y
_atom_site_fract_z
Fe1 0.000 0.000 0.000
Bi1 0.000 0.500 0.500
Bi2 0.500 0.000 0.500
Bi3 0.500 0.500 0.000
Te1 0.500 0.500 0.500
# - Crystal system: cubic
# - Electronic total energy: -16.7 eV per cell
# - E_form (uncorrected): 1.314 eV/atom
# - DOS(E_F): 12.839 states/eV/cell


11.
# Fe2Bi2Te, optimized geometry, DFT GGA-PBE
data_Fe2Bi2Te
_symmetry_space_group_name_H-M 'P 1'
_symmetry_Int_Tables_number 1
_cell_length_a 6.664
_cell_length_b 6.664
_cell_length_c 6.664
_cell_angle_alpha 140.27
_cell_angle_beta 140.27
_cell_angle_gamma 57.45
loop_
_symmetry_equiv_pos_as_xyz
'x,y,z'
loop_
_atom_site_label
_atom_site_fract_x
_atom_site_fract_y
_atom_site_fract_z
Fe1 0.098 0.098 0.000
Fe2 0.902 0.902 0.000
Bi1 0.250 0.750 0.500
Bi2 0.750 0.250 0.500
Te1 0.500 0.500 0.000
# - Crystal system: tetragonal
# - Electronic total energy: -24.8 eV per cell
# - E_form (uncorrected): 0.600 eV/atom
# - DOS(E_F): 6.528 states/eV/cell


12.
# Fe2Bi2Te, optimized geometry, DFT GGA-PBE
data_Fe2Bi2Te
_symmetry_space_group_name_H-M 'P 1'
_symmetry_Int_Tables_number 1
_cell_length_a 6.322
_cell_length_b 6.322
_cell_length_c 6.322
_cell_angle_alpha 137.53
_cell_angle_beta 137.53
_cell_angle_gamma 61.62
loop_
_symmetry_equiv_pos_as_xyz
'x,y,z'
loop_
_atom_site_label
_atom_site_fract_x
_atom_site_fract_y
_atom_site_fract_z
Fe1 0.250 0.750 0.500
Fe2 0.750 0.250 0.500
Bi1 0.138 0.138 0.000
Bi2 0.862 0.862 0.000
Te1 0.500 0.500 0.000
# - Crystal system: tetragonal
# - Electronic total energy: -23.8 eV per cell
# - E_form (uncorrected): 0.800 eV/atom
# - DOS(E_F): 7.209 states/eV/cell


13.
# Fe2Bi2Te, optimized geometry, DFT GGA-PBE
data_Fe2Bi2Te
_symmetry_space_group_name_H-M 'P 1'
_symmetry_Int_Tables_number 1
_cell_length_a 7.495
_cell_length_b 7.495
_cell_length_c 4.059
_cell_angle_alpha 90.00
_cell_angle_beta 90.00
_cell_angle_gamma 90.00
loop_
_symmetry_equiv_pos_as_xyz
'x,y,z'
loop_
_atom_site_label
_atom_site_fract_x
_atom_site_fract_y
_atom_site_fract_z
Fe1 0.113 0.387 0.000
Fe2 0.387 0.887 0.000
Fe3 0.613 0.113 0.000
Fe4 0.887 0.613 0.000
Bi1 0.156 0.656 0.500
Bi2 0.344 0.156 0.500
Bi3 0.656 0.844 0.500
Bi4 0.844 0.344 0.500
Te1 0.000 0.000 0.000
Te2 0.500 0.500 0.000
# - Crystal system: tetragonal
# - Electronic total energy: -51.7 eV per cell
# - E_form (uncorrected): 0.399 eV/atom
# - DOS(E_F): 20.873 states/eV/cell